Entry 1:
A plane-wave DFT calculation with GGA-PBE was carried out for crystalline ZrRu2Pb at its relaxed geometry.

## Properties
Electronic total energy ... -0.5510 Ry/atom
Calculated density ... 11.14 g/cm3
Fermi-level density of states ... 4.9 states/eV/f.u.
Volume ... 75 Å³ per cell

```
data_ZrRu2Pb
_chemical_formula_sum 'Zr1 Ru2 Pb1'
_cell_length_a 3.064
_cell_length_b 3.064
_cell_length_c 7.943
_cell_angle_alpha 90.00
_cell_angle_beta 90.00
_cell_angle_gamma 90.00
_space_group_name_H-M_alt 'P 1'
_space_group_IT_number 1
loop_
_space_group_symop_operation_xyz
'x,y,z'
loop_
_atom_site_label
_atom_site_fract_x
_atom_site_fract_y
_atom_site_fract_z
_atom_site_occupancy
Zr1 0.000 0.000 0.000 1
Ru1 0.000 0.000 0.564 1
Ru2 0.500 0.500 0.753 1
Pb1 0.500 0.500 0.308 1
```

***

Entry 2:
A plane-wave DFT calculation with GGA-PBE was carried out for crystalline ZrRuPb at its relaxed geometry.

## Properties
Electronic total energy ... -0.5289 Ry/atom
Calculated density ... 11.02 g/cm3
Fermi-level density of states ... 2.6 states/eV/f.u.
Volume ... 60 Å³ per cell

```
data_ZrRuPb
_chemical_formula_sum 'Zr1 Ru1 Pb1'
_cell_length_a 4.679
_cell_length_b 4.679
_cell_length_c 3.175
_cell_angle_alpha 90.00
_cell_angle_beta 90.00
_cell_angle_gamma 120.00
_space_group_name_H-M_alt 'P 1'
_space_group_IT_number 1
loop_
_space_group_symop_operation_xyz
'x,y,z'
loop_
_atom_site_label
_atom_site_fract_x
_atom_site_fract_y
_atom_site_fract_z
_atom_site_occupancy
Zr1 0.000 0.000 0.000 1
Ru1 0.333 0.667 0.548 1
Pb1 0.667 0.333 0.510 1
```

***

Entry 3:
A plane-wave DFT calculation with GGA-PBE was carried out for crystalline ZrRuPb2 at its relaxed geometry.

## Properties
Calculated density ... 11.66 g/cm3
Fermi-level density of states ... 3.2 states/eV/f.u.
Polymorph energy (0 for the lowest one) ... 0.322 eV/atom
Volume ... 86 Å³ per cell

```
data_ZrRuPb2
_chemical_formula_sum 'Zr1 Ru1 Pb2'
_cell_length_a 4.182
_cell_length_b 4.329
_cell_length_c 4.774
_cell_angle_alpha 90.00
_cell_angle_beta 90.00
_cell_angle_gamma 90.00
_space_group_name_H-M_alt 'P 1'
_space_group_IT_number 1
loop_
_space_group_symop_operation_xyz
'x,y,z'
loop_
_atom_site_label
_atom_site_fract_x
_atom_site_fract_y
_atom_site_fract_z
_atom_site_occupancy
Zr1 0.000 0.000 0.000 1
Ru1 0.500 0.000 0.500 1
Pb1 0.000 0.500 0.500 1
Pb2 0.500 0.500 0.000 1
```

***

Entry 4:
A plane-wave DFT calculation with GGA-PBE was carried out for crystalline ZrRuPb2 at its relaxed geometry.

## Properties
Calculated density ... 10.47 g/cm3
Fermi-level density of states ... 2.7 states/eV/f.u.
Polymorph energy (0 for the lowest one) ... 0.154 eV/atom
Volume ... 96 Å³ per cell

```
data_ZrRuPb2
_chemical_formula_sum 'Zr1 Ru1 Pb2'
_cell_length_a 9.621
_cell_length_b 9.621
_cell_length_c 9.621
_cell_angle_alpha 20.57
_cell_angle_beta 20.57
_cell_angle_gamma 20.57
_space_group_name_H-M_alt 'P 1'
_space_group_IT_number 1
loop_
_space_group_symop_operation_xyz
'x,y,z'
loop_
_atom_site_label
_atom_site_fract_x
_atom_site_fract_y
_atom_site_fract_z
_atom_site_occupancy
Zr1 0.000 0.000 0.000 1
Ru1 0.728 0.728 0.728 1
Pb1 0.241 0.241 0.241 1
Pb2 0.472 0.472 0.472 1
```

***

Entry 5:
A plane-wave DFT calculation with GGA-PBE was carried out for crystalline ZrRu2Pb at its relaxed geometry.

## Properties
Electronic total energy ... -0.5583 Ry/atom
Calculated density ... 11.25 g/cm3
Fermi-level density of states ... 3.5 states/eV/f.u.
Volume ... 74 Å³ per cell

```
data_ZrRu2Pb
_chemical_formula_sum 'Zr1 Ru2 Pb1'
_cell_length_a 4.749
_cell_length_b 4.749
_cell_length_c 5.288
_cell_angle_alpha 102.86
_cell_angle_beta 102.86
_cell_angle_gamma 39.62
_space_group_name_H-M_alt 'P 1'
_space_group_IT_number 1
loop_
_space_group_symop_operation_xyz
'x,y,z'
loop_
_atom_site_label
_atom_site_fract_x
_atom_site_fract_y
_atom_site_fract_z
_atom_site_occupancy
Zr1 0.000 0.000 0.000 1
Ru1 0.256 0.256 0.763 1
Ru2 0.744 0.744 0.237 1
Pb1 0.500 0.500 0.500 1
```

***

Entry 6:
A plane-wave DFT calculation with GGA-PBE was carried out for crystalline ZrRuPb at its relaxed geometry.

## Properties
Electronic total energy ... -0.4916 Ry/atom
Calculated density ... 9.30 g/cm3
Fermi-level density of states ... 3.5 states/eV/f.u.
Volume ... 71 Å³ per cell

```
data_ZrRuPb
_chemical_formula_sum 'Zr1 Ru1 Pb1'
_cell_length_a 4.655
_cell_length_b 4.655
_cell_length_c 4.655
_cell_angle_alpha 60.00
_cell_angle_beta 60.00
_cell_angle_gamma 60.00
_space_group_name_H-M_alt 'P 1'
_space_group_IT_number 1
loop_
_space_group_symop_operation_xyz
'x,y,z'
loop_
_atom_site_label
_atom_site_fract_x
_atom_site_fract_y
_atom_site_fract_z
_atom_site_occupancy
Zr1 0.000 0.000 0.000 1
Ru1 0.750 0.750 0.750 1
Pb1 0.250 0.250 0.250 1
```

***

Q: The lowest volume belongs to which entry?
A: number 2